Here is CdGa2Te2Se2 after structural relaxation from the Open Quantum Materials Database. Energies are from GGA-PBE.

Geometry as POSCAR:
```
CdGa2Te2Se2
1.0
6.042 0.000 0.000
-0.014 6.088 0.000
-2.933 -2.880 5.756
Cd Ga Te Se
1 2 2 2
Direct
0.000 0.000 0.000
0.269 0.763 0.498
0.499 0.531 0.998
0.115 0.153 0.714
0.867 0.410 0.283
0.406 0.885 0.264
0.609 0.617 0.731
```

Summary:
energy: -3.383 eV/atom